TlCl: optimized geometry, GGA-PBE.

Properties
Its density of states at the Fermi level is 0.0 states/eV/cell. The value obtained for the density is 5.9 g/cm3. The calculation puts the total energy at -6.18 eV for the cell shown.

```
data_TlCl
_chemical_formula_sum 'Tl1 Cl1'
_cell_length_a 4.4035
_cell_length_b 4.4035
_cell_length_c 4.0513
_cell_angle_alpha 90.00
_cell_angle_beta 90.00
_cell_angle_gamma 120.00
_symmetry_space_group_name_H-M 'P -6 m 2'
_symmetry_Int_Tables_number 187
_symmetry_space_group_name_Hall 'P -6 2'
loop_
_atom_site_label
_atom_site_type_symbol
_atom_site_fract_x
_atom_site_fract_y
_atom_site_fract_z
Tl1 Tl 0.0000 0.0000 0.0000
Cl1 Cl 0.3333 0.6667 0.5000
```